Entry from the Alexandria database: a relaxed structure of NaLiGa2C (PBE).

```
5
Lattice="-3.711 2.636 0.058 -2.281 -3.276 2.952 1.606 2.180 3.660" Properties=species:S:1:pos:R:3 pbc="T T T"
Na -1.140 -1.638 1.476
C -2.193 0.770 3.335
Ga -1.856 1.318 0.029
Ga 0.803 1.090 1.830
Li 0.000 0.000 0.000
```

Values from the calculation:
**Formation enthalpy at 0 K**: 1.37 eV per atom
**DOS(E_F)**: 2.21 states/eV/cell
**Magnetic moment**: 1.4 μB per cell
**Raw total energy**: -2.330 eV per atom

Entry from the Alexandria database: a relaxed structure of LiGaP2C (PBE).

```
5
Lattice="4.629 0.000 0.000 0.000 4.862 0.000 0.000 0.000 4.629" Properties=species:S:1:pos:R:3 pbc="T T T"
P 0.000 0.000 2.315
P 2.315 0.000 0.000
Ga 0.000 0.000 0.000
Li 0.000 2.431 0.000
C 2.315 2.431 2.315
```

Values from the calculation:
**Formation enthalpy at 0 K**: 1.79 eV per atom
**DOS(E_F)**: 3.05 states/eV/cell
**Magnetic moment**: 1.2 μB per cell
**Raw total energy**: -3.208 eV per atom

Entry from the Alexandria database: a relaxed structure of LiGaPC2 (PBE).

```
5
Lattice="3.727 0.000 0.000 0.000 4.609 0.000 0.000 0.000 3.727" Properties=species:S:1:pos:R:3 pbc="T T T"
Ga 1.863 2.304 1.863
C 0.000 0.000 1.863
C 1.863 0.000 0.000
Li 0.000 0.000 0.000
P 0.000 2.304 0.000
```

Values from the calculation:
**Formation enthalpy at 0 K**: 2.11 eV per atom
**DOS(E_F)**: 2.86 states/eV/cell
**Magnetic moment**: 0.0 μB per cell
**Raw total energy**: -3.652 eV per atom

Entry from the Alexandria database: a relaxed structure of LiGaRhC2 (PBE).

```
5
Lattice="-3.622 -1.327 0.718 -0.309 -1.624 -4.563 1.488 -3.451 1.127" Properties=species:S:1:pos:R:3 pbc="T T T"
C 0.744 -1.726 0.564
C -1.811 -0.663 0.359
Rh 0.000 0.000 0.000
Ga -1.222 -3.201 -1.359
Li -0.155 -0.812 -2.282
```

Values from the calculation:
**Formation enthalpy at 0 K**: 1.18 eV per atom
**DOS(E_F)**: 4.19 states/eV/cell
**Magnetic moment**: 0.0 μB per cell
**Raw total energy**: -4.972 eV per atom

Entry from the Alexandria database: a relaxed structure of LiGaRh2C (PBE).

```
5
Lattice="-1.509 1.873 3.198 -2.605 -2.993 0.523 2.635 -1.883 2.346" Properties=species:S:1:pos:R:3 pbc="T T T"
Rh -1.302 -1.496 0.262
Rh -0.755 0.936 1.599
Ga -0.740 -1.502 3.034
C 0.000 0.000 0.000
Li 1.317 -0.942 1.173
```

Values from the calculation:
**Formation enthalpy at 0 K**: -0.15 eV per atom
**DOS(E_F)**: 2.71 states/eV/cell
**Magnetic moment**: 0.0 μB per cell
**Raw total energy**: -5.922 eV per atom

Entry from the Alexandria database: a relaxed structure of LiGaSb2C (PBE).

```
5
Lattice="5.134 0.000 0.000 0.000 3.692 0.000 0.000 0.000 5.134" Properties=species:S:1:pos:R:3 pbc="T T T"
Sb 2.567 0.000 0.000
Sb 0.000 0.000 2.567
Li 0.000 0.000 0.000
C 0.000 1.846 0.000
Ga 2.567 1.846 2.567
```

Values from the calculation:
**DOS(E_F)**: 2.73 states/eV/cell
**Magnetic moment**: 0.0 μB per cell
**Raw total energy**: -3.400 eV per atom

Entry from the Alexandria database: a relaxed structure of SrLiGaC2 (PBE).

```
5
Lattice="4.706 0.000 0.000 0.000 5.213 0.000 0.000 0.000 4.706" Properties=species:S:1:pos:R:3 pbc="T T T"
Sr 0.000 0.000 0.000
C 2.353 0.000 0.000
C 0.000 0.000 2.353
Li 0.000 2.606 0.000
Ga 2.353 2.606 2.353
```

Values from the calculation:
**Formation enthalpy at 0 K**: 2.34 eV per atom
**DOS(E_F)**: 3.28 states/eV/cell
**Magnetic moment**: 0.3 μB per cell
**Raw total energy**: -2.673 eV per atom

Entry from the Alexandria database: a relaxed structure of LuGaC (PBE).

```
3
Lattice="-3.602 -2.959 -0.655 1.532 -1.245 -2.799 0.607 -1.417 3.059" Properties=species:S:1:pos:R:3 pbc="T T T"
Ga -0.817 -2.979 -1.218
Lu -0.306 -0.251 -0.056
C -0.339 -2.391 0.878
```

Values from the calculation:
**Formation enthalpy at 0 K**: -0.22 eV per atom
**Magnetic moment**: 0.0 μB per cell
**Raw total energy**: -5.809 eV per atom

Entry from the Alexandria database: a relaxed structure of Lu2GaC (PBE).

```
4
Lattice="3.485 0.000 0.000 1.743 3.018 0.000 1.743 1.006 7.535" Properties=species:S:1:pos:R:3 pbc="T T T"
Ga 0.000 0.000 0.000
Lu 5.228 3.018 5.083
Lu 1.743 1.006 2.452
C 3.485 2.012 3.768
```

Values from the calculation:
**Formation enthalpy at 0 K**: -0.45 eV per atom
**DOS(E_F)**: 2.98 states/eV/cell
**Magnetic moment**: 0.0 μB per cell
**Raw total energy**: -5.777 eV per atom

Entry from the Alexandria database: a relaxed structure of Mg3GaC (PBE).

```
5
Lattice="-3.194 -1.684 2.538 2.569 0.486 3.555 -1.636 4.050 0.629" Properties=species:S:1:pos:R:3 pbc="T T T"
Mg -0.818 2.025 0.314
Mg -1.597 -0.842 1.269
Mg 1.284 0.243 1.778
Ga -1.130 1.426 3.361
C 0.000 0.000 0.000
```

Values from the calculation:
**Formation enthalpy at 0 K**: 0.14 eV per atom
**DOS(E_F)**: 1.95 states/eV/cell
**Magnetic moment**: 0.0 μB per cell
**Offset from the most stable computed form**: 0.0 kJ/mol of formula units
**Raw total energy**: -3.268 eV per atom

Entry from the Alexandria database: a relaxed structure of Mg6GaC (PBE).

```
8
Lattice="0.377 3.304 5.501 -4.804 -3.967 -1.581 2.276 -3.541 1.971" Properties=species:S:1:pos:R:3 pbc="T T T"
Mg -1.816 -1.734 4.461
Mg -3.740 -1.221 2.125
Mg 0.621 0.279 5.264
Mg -1.359 0.867 3.128
Mg 0.428 -1.398 2.474
Mg -1.741 -0.921 0.355
C -1.441 -2.615 2.446
Ga -4.109 -2.992 -0.631
```

Values from the calculation:
**Formation enthalpy at 0 K**: 0.41 eV per atom
**DOS(E_F)**: 4.04 states/eV/cell
**Magnetic moment**: 0.0 μB per cell
**Raw total energy**: -2.322 eV per atom

Entry from the Alexandria database: a relaxed structure of Mg2GaC2 (PBE).

```
10
Lattice="-6.175 -1.190 -2.924 0.023 -6.441 2.572 -1.211 0.875 2.202" Properties=species:S:1:pos:R:3 pbc="T T T"
C -2.655 -1.037 0.559
C -1.624 -4.061 2.328
C -5.739 -2.695 -0.478
C -4.708 -5.719 1.290
Mg -5.318 -5.126 -0.889
Mg -2.226 -5.995 1.158
Mg -0.834 -2.504 0.536
Mg -3.927 -1.636 -1.510
Ga -3.076 -3.815 -0.176
Ga 0.000 0.000 0.000
```

Values from the calculation:
**Formation enthalpy at 0 K**: 1.20 eV per atom
**DOS(E_F)**: 3.44 states/eV/cell
**Magnetic moment**: 0.0 μB per cell
**Offset from the most stable computed form**: 82.6 kJ/mol of formula units
**Raw total energy**: -3.734 eV per atom

Entry from the Alexandria database: a relaxed structure of MgGaC2 (PBE).

```
4
Lattice="0.000 2.794 2.794 2.794 0.000 2.794 2.794 2.794 0.000" Properties=species:S:1:pos:R:3 pbc="T T T"
C 4.191 4.191 4.191
C 1.397 1.397 1.397
Ga 2.794 2.794 2.794
Mg 0.000 0.000 0.000
```

Values from the calculation:
**Formation enthalpy at 0 K**: 1.55 eV per atom
**DOS(E_F)**: 2.10 states/eV/cell
**Magnetic moment**: 0.0 μB per cell
**Offset from the most stable computed form**: 139.6 kJ/mol of formula units
**Raw total energy**: -4.218 eV per atom

Entry from the Alexandria database: a relaxed structure of MgGaC2 (PBE).

```
8
Lattice="4.217 0.000 0.000 0.000 4.217 0.000 2.108 2.108 6.005" Properties=species:S:1:pos:R:3 pbc="T T T"
C 3.163 2.850 4.504
C 5.271 5.583 4.504
C 3.475 1.054 1.501
C 0.742 3.163 1.501
Mg 2.108 4.217 3.003
Mg 2.108 2.108 0.000
Ga 0.000 0.000 0.000
Ga 4.217 2.108 3.003
```

Values from the calculation:
**Formation enthalpy at 0 K**: 1.19 eV per atom
**DOS(E_F)**: 3.81 states/eV/cell
**Magnetic moment**: 0.0 μB per cell
**Offset from the most stable computed form**: 0.0 kJ/mol of formula units
**Raw total energy**: -4.580 eV per atom

Entry from the Alexandria database: a relaxed structure of Mg2GaC2 (PBE).

```
5
Lattice="-0.697 1.626 -2.237 0.829 -2.078 -1.769 -7.166 -3.195 -1.906" Properties=species:S:1:pos:R:3 pbc="T T T"
Mg -5.121 -2.609 -3.936
Mg -1.914 -1.039 -1.977
C -3.899 -0.898 -3.073
C -3.135 -2.750 -2.839
Ga 0.000 0.000 0.000
```

Values from the calculation:
**Formation enthalpy at 0 K**: 1.03 eV per atom
**DOS(E_F)**: 1.52 states/eV/cell
**Magnetic moment**: 0.0 μB per cell
**Offset from the most stable computed form**: 0.0 kJ/mol of formula units
**Raw total energy**: -3.905 eV per atom

Entry from the Alexandria database: a relaxed structure of Mg2GaC (PBE).

```
8
Lattice="-5.120 1.293 6.352 -5.906 -4.268 -3.891 -4.840 -3.237 2.129" Properties=species:S:1:pos:R:3 pbc="T T T"
Mg -12.423 -4.413 4.312
Mg -6.282 -3.128 -0.187
Mg -8.620 -4.161 1.956
Mg -4.407 -0.722 3.096
C -8.129 -4.496 -0.266
C -5.513 -1.487 1.230
Ga -7.737 -1.715 4.855
Ga 0.000 0.000 0.000
```

Values from the calculation:
**Formation enthalpy at 0 K**: 0.52 eV per atom
**DOS(E_F)**: 3.16 states/eV/cell
**Magnetic moment**: 0.0 μB per cell
**Raw total energy**: -3.335 eV per atom

Entry from the Alexandria database: a relaxed structure of Mg2GaC (PBE).

```
4
Lattice="0.000 3.150 3.150 3.150 0.000 3.150 3.150 3.150 0.000" Properties=species:S:1:pos:R:3 pbc="T T T"
C 0.000 0.000 0.000
Mg 1.575 1.575 1.575
Mg 4.725 4.725 4.725
Ga 3.150 3.150 3.150
```

Values from the calculation:
**Formation enthalpy at 0 K**: 0.80 eV per atom
**DOS(E_F)**: 1.39 states/eV/cell
**Magnetic moment**: 0.0 μB per cell
**Raw total energy**: -3.059 eV per atom

Entry from the Alexandria database: a relaxed structure of Mg3GaC (PBE).

```
5
Lattice="-3.008 3.891 -1.046 -3.138 -1.443 3.654 2.527 2.839 3.291" Properties=species:S:1:pos:R:3 pbc="T T T"
Mg -1.569 -0.721 1.827
Mg 1.264 1.419 1.646
Mg -1.504 1.945 -0.523
C -1.809 2.643 2.949
Ga 0.000 0.000 0.000
```

Values from the calculation:
**Formation enthalpy at 0 K**: 1.32 eV per atom
**DOS(E_F)**: 1.22 states/eV/cell
**Magnetic moment**: 2.8 μB per cell
**Offset from the most stable computed form**: 567.8 kJ/mol of formula units
**Raw total energy**: -2.091 eV per atom

Entry from the Alexandria database: a relaxed structure of Na2MgGaC (PBE).

```
5
Lattice="5.532 0.000 0.000 0.000 3.698 0.000 0.000 0.000 5.532" Properties=species:S:1:pos:R:3 pbc="T T T"
Mg 2.766 1.849 2.766
Na 0.000 0.000 2.766
Na 2.766 0.000 0.000
Ga 0.000 1.849 0.000
C 0.000 0.000 0.000
```

Values from the calculation:
**Formation enthalpy at 0 K**: 0.54 eV per atom
**DOS(E_F)**: 2.66 states/eV/cell
**Magnetic moment**: 0.0 μB per cell
**Raw total energy**: -2.754 eV per atom

Entry from the Alexandria database: a relaxed structure of MgGaSbC2 (PBE).

```
5
Lattice="4.181 0.000 0.000 0.000 5.594 0.000 0.000 0.000 4.181" Properties=species:S:1:pos:R:3 pbc="T T T"
Mg 0.000 0.000 0.000
C 2.091 0.000 0.000
C 0.000 0.000 2.091
Ga 2.091 2.797 2.091
Sb 0.000 2.797 0.000
```

Values from the calculation:
**DOS(E_F)**: 3.25 states/eV/cell
**Magnetic moment**: 0.0 μB per cell
**Raw total energy**: -3.381 eV per atom